Material: ZnRePb
Method: DFT, SCAN
State: PBEsol geometry

uncorrected energy: -1.917 hartree per atom
crystal system: cubic
space-group type: F-43m, No. 216
E_form: 1.300 eV/atom
volume: 19.22 Å³ per atom

Cell: 4.337 4.337 4.337 Å, 60.00 60.00 60.00°
Site moments in Bohr magnetons follow the coordinates.
Positions (direct):
Pb 0.000 0.000 0.000  -0.03
Re 0.500 0.500 0.500  1.01
Zn 0.250 0.250 0.250  0.00